Material: CoAgP2O8
Method: DFT, PBE+U
State: relaxed

## Properties
ρ: 4.2 g cm⁻³
final energy: -6.182 eV/atom
density of states at the Fermi level: 6.4 states/eV per cell
symmetry: R-3 (148)

a = 7.9348 Å, b = 7.9348 Å, c = 7.9348 Å
α = 34.08°, β = 34.08°, γ = 34.08°
Closest atoms and distances in Å follow each position.
Fractional positions:
1 Co 0.0000 0.0000 0.0000  6 O 1.87
2 Ag 0.5000 0.5000 0.5000  6 O 2.75
3 P 0.2620 0.2620 0.2620  4 O 1.54-1.56
4 P 0.7380 0.7380 0.7380  4 O 1.54-1.56
5 O 0.0219 0.7410 0.3867  1 P 1.56
6 O 0.1930 0.1930 0.1930  1 P 1.54
7 O 0.2590 0.6133 0.9781  1 P 1.56
8 O 0.3867 0.0219 0.7410  1 P 1.56
9 O 0.6133 0.9781 0.2590  1 P 1.56
10 O 0.7410 0.3867 0.0219  1 P 1.56
11 O 0.8070 0.8070 0.8070  1 P 1.54
12 O 0.9781 0.2590 0.6133  1 P 1.56